No. 1
A geometry-optimized TcNiB2 structure, computed with PBE.

a b c (Å): 3.801 3.801 3.801
angles (deg): 60.00 60.00 60.00
Positions (direct):
Tc1 0.250 0.250 0.250
Ni1 0.000 0.000 0.000
B1 0.750 0.750 0.750
B2 0.500 0.500 0.500

- Crystal system: cubic
- Total moment: 0.00 μB/atom

No. 2
A geometry-optimized Li4GdOsO6 structure, computed with PBE.

a b c (Å): 5.384 5.384 5.216
angles (deg): 99.38 99.38 120.44
Positions (direct):
O1 0.932 0.610 0.234
O2 0.099 0.463 0.758
O3 0.390 0.068 0.766
O4 0.537 0.901 0.242
O5 0.782 0.747 0.757
O6 0.253 0.218 0.243
Li1 0.648 0.352 0.500
Li2 0.026 0.974 0.500
Li3 0.331 0.669 0.500
Li4 0.501 0.499 0.000
Os1 0.167 0.833 0.000
Gd1 0.835 0.165 0.000

- Crystal system: monoclinic
- Total moment: 0.25 μB/atom

No. 3
A geometry-optimized ScCuSn2 structure, computed with PBE.

a b c (Å): 4.985 4.985 4.985
angles (deg): 60.00 60.00 60.00
Positions (direct):
Sn1 0.000 0.000 0.000
Sn2 0.250 0.250 0.250
Cu1 0.500 0.500 0.500
Sc1 0.750 0.750 0.750

- Crystal system: cubic
- Total moment: 0.00 μB/atom

No. 4
A geometry-optimized TlGaPdSe3 structure, computed with PBE.

a b c (Å): 7.771 3.720 11.304
angles (deg): 90.00 109.45 90.00
Positions (direct):
Se1 0.241 0.750 0.668
Se2 0.668 0.750 0.634
Se3 0.293 0.750 0.024
Se4 0.332 0.250 0.366
Se5 0.707 0.250 0.976
Se6 0.759 0.250 0.332
Pd1 0.502 0.250 0.115
Pd2 0.498 0.750 0.885
Tl1 0.987 0.750 0.200
Tl2 0.013 0.250 0.800
Ga1 0.588 0.750 0.401
Ga2 0.412 0.250 0.599

- Crystal system: monoclinic

No. 5
A geometry-optimized PrHoCu2As4 structure, computed with PBE.

a b c (Å): 3.953 3.953 10.021
angles (deg): 90.00 90.00 90.00
Positions (direct):
As1 0.500 0.000 0.991
As2 0.000 0.500 0.991
As3 0.500 0.500 0.662
As4 0.000 0.000 0.351
Cu1 0.500 0.000 0.506
Cu2 0.000 0.500 0.506
Pr1 0.500 0.500 0.235
Ho1 0.000 0.000 0.760

- Crystal system: tetragonal
- Total moment: 0.00 μB/atom

No. 6
A geometry-optimized In2GaAgS6 structure, computed with PBE.

a b c (Å): 11.817 3.766 12.273
angles (deg): 90.00 116.22 90.00
Positions (direct):
In1 0.760 0.250 0.506
In2 0.637 0.750 0.093
In3 0.240 0.750 0.494
In4 0.363 0.250 0.907
S1 0.404 0.750 0.060
S2 0.725 0.250 0.273
S3 0.276 0.750 0.304
S4 0.900 0.750 0.146
S5 0.916 0.750 0.548
S6 0.275 0.750 0.727
S7 0.100 0.250 0.854
S8 0.438 0.250 0.630
S9 0.724 0.250 0.696
S10 0.596 0.250 0.940
S11 0.562 0.750 0.370
S12 0.084 0.250 0.452
Ag1 0.580 0.750 0.652
Ag2 0.420 0.250 0.348
Ga1 0.919 0.250 0.261
Ga2 0.081 0.750 0.739

- Crystal system: monoclinic

No. 7
A geometry-optimized Ho2Sc2CBr2Cl3 structure, computed with PBE.

a b c (Å): 8.654 8.654 7.538
angles (deg): 102.31 102.31 24.29
Positions (direct):
C1 0.500 0.500 0.000
Cl1 0.500 0.500 0.500
Cl2 0.166 0.166 0.823
Cl3 0.834 0.834 0.177
Br1 0.837 0.837 0.642
Br2 0.163 0.163 0.358
Ho1 0.642 0.642 0.071
Ho2 0.358 0.358 0.929
Sc1 0.999 0.999 0.200
Sc2 0.001 0.001 0.800

- Crystal system: monoclinic
- Energy above the most stable polymorph in this dataset: 0.044 eV per atom
- Total moment: 0.00 μB/atom

No. 8
A geometry-optimized GdLuAu structure, computed with PBE.

a b c (Å): 4.811 4.811 4.811
angles (deg): 60.00 60.00 60.00
Positions (direct):
Gd1 0.750 0.750 0.750
Lu1 0.000 0.000 0.000
Au1 0.250 0.250 0.250

- Crystal system: cubic
- Energy above the most stable polymorph in this dataset: 0.000 eV per atom
- Energy relative to the elements: 0.309 eV/f.u.
- Total moment: 0.00 μB/atom

| no. | final energy (eV/atom) |
| --- | --- |
| 1 | -6.49 |
| 2 | -6.43 |
| 3 | -4.50 |
| 4 | -3.82 |
| 5 | -5.24 |
| 6 | -3.93 |
| 7 | -5.53 |
| 8 | -4.05 |